Entry 1:
## TbHo6Tm4 (PBE)

Data for a relaxed TbHo6Tm4 crystal.

```
TbHo6Tm4
1.0
6.475 0.000 0.000
0.000 6.475 0.000
-3.238 -3.238 8.449
Tb Ho Tm
1 6 4
direct
0.500 0.500 0.000
0.860 0.486 0.346
0.486 0.860 0.346
0.514 0.514 0.654
0.000 0.500 0.000
0.140 0.140 0.654
0.500 0.000 0.000
0.048 0.688 0.736
0.952 0.952 0.264
0.688 0.048 0.736
0.312 0.312 0.264
```

Output
- crystal system = tetragonal
- calculated formation energy (eV/atom) = 0.316

=====

Entry 2:
## CaCd2Br (PBE)

Data for a relaxed CaCd2Br crystal.

```
CaCd2Br
1.0
5.555 0.193 -0.055
4.143 3.706 -0.055
2.126 0.854 5.770
Ca Br Cd
1 1 2
direct
0.251 0.251 0.347
0.528 0.528 0.396
0.989 0.989 0.925
0.732 0.732 0.832
```

Output
- crystal system = monoclinic
- raw total energy (Ry per atom) = -0.1443

=====

Entry 3:
## Rb4ScU3O12 (PBE)

Data for a relaxed Rb4ScU3O12 crystal.

```
Rb4ScU3O12
1.0
7.451 0.000 0.000
-2.484 7.025 0.000
-2.484 -3.512 6.084
Rb Sc U O
4 1 3 12
direct
0.500 0.500 0.500
0.000 0.000 0.500
0.500 0.000 0.000
0.000 0.500 0.000
0.000 0.000 0.000
0.500 0.000 0.500
0.500 0.500 0.000
0.000 0.500 0.500
0.250 0.500 0.750
0.740 0.000 0.740
0.260 0.000 0.260
0.750 0.500 0.250
0.740 0.740 0.000
0.260 0.260 0.000
0.750 0.250 0.500
0.250 0.750 0.500
0.500 0.250 0.750
0.000 0.740 0.740
0.500 0.750 0.250
0.000 0.260 0.260
```

Output
- crystal system = cubic
- raw total energy (Ry per atom) = -0.5900

=====

Entry 4:
## Cs3SmPa3Te8 (PBE)

Data for a relaxed Cs3SmPa3Te8 crystal.

```
Cs3SmPa3Te8
1.0
-7.010 -4.032 -3.695
5.062 -4.369 5.860
-6.407 7.278 4.214
Cs Sm Pa Te
3 1 3 8
direct
0.000 0.000 0.000
0.000 0.500 0.000
0.500 0.500 0.000
0.000 0.000 0.500
0.500 0.000 0.500
0.500 0.500 0.500
0.000 0.500 0.500
0.268 0.536 0.305
0.732 0.464 0.695
0.765 0.531 0.306
0.235 0.469 0.694
0.765 0.040 0.306
0.235 0.960 0.694
0.275 0.040 0.306
0.725 0.960 0.694
```

Output
- crystal system = trigonal
- raw total energy (Ry per atom) = -0.3748

=====

Entry 5:
## BaY2Te (PBE)

Data for a relaxed BaY2Te crystal.

```
BaY2Te
1.0
-2.246 1.507 5.231
-0.327 -6.824 -1.486
3.078 -1.681 1.810
Ba Te Y
1 1 2
direct
0.000 0.500 0.500
0.500 0.500 0.000
0.000 0.000 0.000
0.500 0.000 0.500
```

Output
- crystal system = monoclinic
- raw total energy (Ry per atom) = -0.3533